(1)
# Nd3Sn8Pd3 PBE relaxed
data_Nd3Sn8Pd3
_symmetry_space_group_name_H-M 'P 1'
_symmetry_Int_Tables_number 1
_cell_length_a 5.036
_cell_length_b 8.918
_cell_length_c 8.653
_cell_angle_alpha 71.10
_cell_angle_beta 73.08
_cell_angle_gamma 73.60
loop_
_symmetry_equiv_pos_as_xyz
'x,y,z'
loop_
_atom_site_label
_atom_site_type_symbol
_atom_site_fract_x
_atom_site_fract_y
_atom_site_fract_z
Nd1 Nd 0.293 0.684 0.730
Nd2 Nd 0.707 0.316 0.270
Nd3 Nd 0.000 0.000 0.000
Sn1 Sn 0.140 0.147 0.573
Sn2 Sn 0.860 0.853 0.427
Sn3 Sn 0.856 0.427 0.860
Sn4 Sn 0.144 0.573 0.140
Sn5 Sn 0.489 0.677 0.345
Sn6 Sn 0.511 0.323 0.655
Sn7 Sn 0.350 0.056 0.244
Sn8 Sn 0.650 0.944 0.756
Pd1 Pd 0.000 0.500 0.500
Pd2 Pd 0.650 0.684 0.017
Pd3 Pd 0.350 0.316 0.983
# DOS(E_F) = 6.3 states/eV/cell
# ΔH_f (0 K) = -7.83 eV/f.u.
# Space group = C2/m, No. 12
# Total moment = 0.00 μB/cell


(2)
# TlZn2O PBE relaxed
data_TlZn2O
_symmetry_space_group_name_H-M 'P 1'
_symmetry_Int_Tables_number 1
_cell_length_a 5.981
_cell_length_b 5.981
_cell_length_c 6.015
_cell_angle_alpha 60.19
_cell_angle_beta 60.19
_cell_angle_gamma 90.00
loop_
_symmetry_equiv_pos_as_xyz
'x,y,z'
loop_
_atom_site_label
_atom_site_type_symbol
_atom_site_fract_x
_atom_site_fract_y
_atom_site_fract_z
Tl1 Tl 0.000 0.000 0.000
Tl2 Tl 0.750 0.250 0.500
Zn1 Zn 0.516 0.125 0.250
Zn2 Zn 0.234 0.625 0.250
Zn3 Zn 0.375 0.484 0.750
Zn4 Zn 0.875 0.766 0.750
O1 O 0.500 0.500 0.000
O2 O 0.250 0.750 0.500
# DOS(E_F) = 1.9 states/eV/cell
# Calculated total energy = -2.896 eV per atom
# Space group = I-42d, No. 122
# Total moment = 0.00 μB/cell


(3)
# Y5Cu4Hg PBE relaxed
data_Y5Cu4Hg
_symmetry_space_group_name_H-M 'P 1'
_symmetry_Int_Tables_number 1
_cell_length_a 3.507
_cell_length_b 3.507
_cell_length_c 17.961
_cell_angle_alpha 90.00
_cell_angle_beta 90.00
_cell_angle_gamma 90.00
loop_
_symmetry_equiv_pos_as_xyz
'x,y,z'
loop_
_atom_site_label
_atom_site_type_symbol
_atom_site_fract_x
_atom_site_fract_y
_atom_site_fract_z
Y1 Y 0.500 0.500 0.115
Y2 Y 0.500 0.500 0.306
Y3 Y 0.500 0.500 0.500
Y4 Y 0.500 0.500 0.694
Y5 Y 0.500 0.500 0.885
Cu1 Cu 0.000 0.000 0.210
Cu2 Cu 0.000 0.000 0.403
Cu3 Cu 0.000 0.000 0.597
Cu4 Cu 0.000 0.000 0.790
Hg1 Hg 0.000 0.000 0.000
# DOS(E_F) = 6.9 states/eV/cell
# ΔH_f (0 K) = -2.90 eV/f.u.
# Space group = P4/mmm, No. 123
# Total moment = 0.00 μB/cell


(4)
# NiTeRu2 PBE relaxed
data_NiTeRu2
_symmetry_space_group_name_H-M 'P 1'
_symmetry_Int_Tables_number 1
_cell_length_a 4.785
_cell_length_b 4.785
_cell_length_c 4.785
_cell_angle_alpha 131.79
_cell_angle_beta 131.79
_cell_angle_gamma 70.56
loop_
_symmetry_equiv_pos_as_xyz
'x,y,z'
loop_
_atom_site_label
_atom_site_type_symbol
_atom_site_fract_x
_atom_site_fract_y
_atom_site_fract_z
Ni1 Ni 0.750 0.250 0.500
Ru1 Ru 0.000 0.000 0.000
Ru2 Ru 0.250 0.750 0.500
Te1 Te 0.500 0.500 0.000
# DOS(E_F) = 6.0 states/eV/cell
# Calculated total energy = -6.537 eV per atom
# Space group = I-4m2, No. 119
# Total moment = 0.00 μB/cell


(5)
# LaGaIr2Rh PBE relaxed
data_LaGaIr2Rh
_symmetry_space_group_name_H-M 'P 1'
_symmetry_Int_Tables_number 1
_cell_length_a 4.849
_cell_length_b 5.202
_cell_length_c 4.849
_cell_angle_alpha 90.00
_cell_angle_beta 90.00
_cell_angle_gamma 90.00
loop_
_symmetry_equiv_pos_as_xyz
'x,y,z'
loop_
_atom_site_label
_atom_site_type_symbol
_atom_site_fract_x
_atom_site_fract_y
_atom_site_fract_z
Ir1 Ir 0.000 0.000 0.500
Ir2 Ir 0.500 0.000 0.000
Rh1 Rh 0.000 0.000 0.000
Ga1 Ga 0.500 0.500 0.500
La1 La 0.000 0.500 0.000
# DOS(E_F) = 6.8 states/eV/cell
# ΔH_f (0 K) = 3.72 eV/f.u.
# Space group = P4/mmm, No. 123
# Total moment = 0.00 μB/cell


(6)
# La3Ga2Ru PBE relaxed
data_La3Ga2Ru
_symmetry_space_group_name_H-M 'P 1'
_symmetry_Int_Tables_number 1
_cell_length_a 4.635
_cell_length_b 11.117
_cell_length_c 12.511
_cell_angle_alpha 90.00
_cell_angle_beta 90.00
_cell_angle_gamma 90.00
loop_
_symmetry_equiv_pos_as_xyz
'x,y,z'
loop_
_atom_site_label
_atom_site_type_symbol
_atom_site_fract_x
_atom_site_fract_y
_atom_site_fract_z
La1 La 0.250 0.387 0.056
La2 La 0.750 0.613 0.944
La3 La 0.750 0.887 0.444
La4 La 0.250 0.113 0.556
La5 La 0.250 0.713 0.233
La6 La 0.750 0.287 0.767
La7 La 0.750 0.213 0.267
La8 La 0.250 0.787 0.733
La9 La 0.250 0.444 0.388
La10 La 0.750 0.556 0.612
La11 La 0.750 0.944 0.112
La12 La 0.250 0.056 0.888
Ga1 Ga 0.250 0.703 0.484
Ga2 Ga 0.750 0.297 0.516
Ga3 Ga 0.750 0.203 0.016
Ga4 Ga 0.250 0.797 0.984
Ga5 Ga 0.250 0.013 0.287
Ga6 Ga 0.750 0.987 0.713
Ga7 Ga 0.750 0.513 0.213
Ga8 Ga 0.250 0.487 0.787
Ru1 Ru 0.250 0.150 0.110
Ru2 Ru 0.750 0.850 0.890
Ru3 Ru 0.750 0.650 0.390
Ru4 Ru 0.250 0.350 0.610
# DOS(E_F) = 24.8 states/eV/cell
# ΔH_f (0 K) = -3.00 eV/f.u.
# Space group = Pnma, No. 62
# Total moment = 0.00 μB/cell


What is the DOS(E_F) in the first record? 6.3 states/eV/cell


What is the total moment in the sixth record? 0.00 μB/cell


Number 5 is which compound? LaGaIr2Rh